1.
MgReNi2 (PBE, optimized geometry); ΔH_f (0 K) = 0.120 eV/atom; space group = R-3m
1.0
2.726 0.000 0.000
-1.363 2.361 0.000
0.000 0.000 25.489
Mg Re Ni
3 3 6
direct
0.000 0.000 0.000 Mg
0.333 0.667 0.667 Mg
0.667 0.333 0.333 Mg
0.000 0.000 0.500 Re
0.333 0.667 0.167 Re
0.667 0.333 0.833 Re
0.000 0.000 0.247 Ni
0.000 0.000 0.753 Ni
0.333 0.667 0.419 Ni
0.333 0.667 0.914 Ni
0.667 0.333 0.086 Ni
0.667 0.333 0.581 Ni

***

2.
CsSr2Te (PBE, optimized geometry); space group = I-42d; ΔE_f (raw) = -0.543 eV/atom
1.0
11.060 0.000 0.000
0.000 11.060 0.000
0.000 0.000 7.844
Cs Sr Te
4 8 4
direct
0.000 0.000 0.000 Cs
0.000 0.500 0.250 Cs
0.500 0.000 0.750 Cs
0.500 0.500 0.500 Cs
0.147 0.750 0.625 Sr
0.250 0.147 0.375 Sr
0.250 0.353 0.875 Sr
0.353 0.750 0.125 Sr
0.647 0.250 0.125 Sr
0.750 0.647 0.875 Sr
0.750 0.853 0.375 Sr
0.853 0.250 0.625 Sr
0.000 0.000 0.500 Te
0.000 0.500 0.750 Te
0.500 0.000 0.250 Te
0.500 0.500 0.000 Te

***

3.
CaPmSnBi (PBE, optimized geometry); ΔH_f (0 K) = -0.583 eV/atom; space group = F-43m
1.0
7.857 0.000 0.000
0.000 7.857 0.000
0.000 0.000 7.857
Ca Pm Sn Bi
4 4 4 4
direct
0.000 0.000 0.000 Ca
0.000 0.500 0.500 Ca
0.500 0.000 0.500 Ca
0.500 0.500 0.000 Ca
0.000 0.000 0.500 Pm
0.000 0.500 0.000 Pm
0.500 0.000 0.000 Pm
0.500 0.500 0.500 Pm
0.250 0.250 0.750 Sn
0.250 0.750 0.250 Sn
0.750 0.250 0.250 Sn
0.750 0.750 0.750 Sn
0.250 0.250 0.250 Bi
0.250 0.750 0.750 Bi
0.750 0.250 0.750 Bi
0.750 0.750 0.250 Bi

***

4.
ScTa2Cu (PBE, optimized geometry); ΔH_f (0 K) = 0.203 eV/atom; space group = I-4m2
1.0
4.107 0.000 0.000
0.000 4.107 0.000
0.000 0.000 8.349
Sc Ta Cu
2 4 2
direct
0.000 0.000 0.000 Sc
0.500 0.500 0.500 Sc
0.000 0.000 0.500 Ta
0.000 0.500 0.750 Ta
0.500 0.000 0.250 Ta
0.500 0.500 0.000 Ta
0.000 0.500 0.250 Cu
0.500 0.000 0.750 Cu

***

5.
CeDyNiPt (PBE, optimized geometry); ΔH_f (0 K) = -0.687 eV/atom; space group = F-43m
1.0
6.965 0.000 0.000
0.000 6.965 0.000
0.000 0.000 6.965
Ce Dy Ni Pt
4 4 4 4
direct
0.000 0.000 0.000 Ce
0.000 0.500 0.500 Ce
0.500 0.000 0.500 Ce
0.500 0.500 0.000 Ce
0.000 0.000 0.500 Dy
0.000 0.500 0.000 Dy
0.500 0.000 0.000 Dy
0.500 0.500 0.500 Dy
0.250 0.250 0.250 Ni
0.250 0.750 0.750 Ni
0.750 0.250 0.750 Ni
0.750 0.750 0.250 Ni
0.250 0.250 0.750 Pt
0.250 0.750 0.250 Pt
0.750 0.250 0.250 Pt
0.750 0.750 0.750 Pt

***

6.
Pr2CdSi3Pd4 (PBE, optimized geometry); space group = P-4m2; ΔE_f (raw) = -0.780 eV/atom
1.0
4.310 0.000 0.000
0.000 4.310 0.000
0.000 0.000 10.345
Pr Cd Si Pd
2 1 3 4
direct
0.000 0.500 0.245 Pr
0.500 0.000 0.755 Pr
0.000 0.000 0.500 Cd
0.000 0.500 0.879 Si
0.500 0.000 0.121 Si
0.500 0.500 0.500 Si
0.000 0.000 0.000 Pd
0.000 0.500 0.649 Pd
0.500 0.000 0.351 Pd
0.500 0.500 0.000 Pd

***

7.
Pr8Ir2Os (PBE, optimized geometry); ΔH_f (0 K) = -0.211 eV/atom; space group = Cm
1.0
4.273 -6.472 0.000
4.273 6.472 0.000
-2.333 0.000 6.041
Pr Ir Os
8 2 1
direct
0.000 0.000 0.000 Pr
0.008 0.270 0.569 Pr
0.143 0.550 0.195 Pr
0.270 0.008 0.569 Pr
0.433 0.698 0.795 Pr
0.550 0.143 0.195 Pr
0.698 0.433 0.795 Pr
0.702 0.702 0.384 Pr
0.040 0.668 0.686 Ir
0.668 0.040 0.686 Ir
0.354 0.354 0.380 Os

***

8.
ScCd2In (PBE, optimized geometry); ΔH_f (0 K) = -0.169 eV/atom; space group = C2/m
1.0
10.515 0.000 0.000
0.000 3.457 0.000
-1.205 0.000 5.069
Sc Cd In
2 4 2
direct
0.000 0.000 0.000 Sc
0.500 0.500 0.000 Sc
0.248 0.500 0.245 Cd
0.252 0.000 0.755 Cd
0.748 0.000 0.245 Cd
0.752 0.500 0.755 Cd
0.000 0.500 0.500 In
0.500 0.000 0.500 In

***

9.
PmDy2S3 (PBE, optimized geometry); space group = Immm; ΔE_f (raw) = -2.003 eV/atom
1.0
3.950 0.000 0.000
0.000 5.582 0.000
0.000 0.000 11.844
Pm Dy S
2 4 6
direct
0.000 0.000 0.000 Pm
0.500 0.500 0.500 Pm
0.000 0.000 0.337 Dy
0.000 0.000 0.663 Dy
0.500 0.500 0.163 Dy
0.500 0.500 0.837 Dy
0.000 0.500 0.000 S
0.000 0.500 0.326 S
0.000 0.500 0.674 S
0.500 0.000 0.174 S
0.500 0.000 0.500 S
0.500 0.000 0.826 S

***

10.
Tl2Cu2PbF6 (PBE, optimized geometry); space group = C2/m; ΔE_f (raw) = -1.626 eV/atom
1.0
5.950 -3.041 0.000
5.950 3.041 0.000
-4.346 0.000 5.822
Tl Cu Pb F
2 2 1 6
direct
0.222 0.222 0.187 Tl
0.778 0.778 0.813 Tl
0.440 0.440 0.776 Cu
0.560 0.560 0.224 Cu
0.000 0.000 0.500 Pb
0.194 0.655 0.193 F
0.248 0.248 0.654 F
0.345 0.806 0.807 F
0.655 0.194 0.193 F
0.752 0.752 0.346 F
0.806 0.345 0.807 F

***

11.
MgTc2Pt (PBE, optimized geometry); ΔH_f (0 K) = -0.063 eV/atom; space group = P2/m
1.0
4.623 0.000 0.000
0.000 2.768 0.000
-1.405 0.000 4.762
Mg Tc Pt
1 2 1
direct
0.000 0.000 0.000 Mg
0.000 0.500 0.500 Tc
0.500 0.000 0.500 Tc
0.500 0.500 0.000 Pt

***

12.
KLi2HfTc (PBE, optimized geometry); ΔH_f (0 K) = 1.772 eV/atom; space group = P4/mmm
1.0
4.825 0.000 0.000
0.000 4.825 0.000
0.000 0.000 4.915
K Li Hf Tc
1 2 1 1
direct
0.000 0.000 0.000 K
0.000 0.500 0.500 Li
0.500 0.000 0.500 Li
0.500 0.500 0.000 Hf
0.000 0.000 0.500 Tc

***

13.
Zn3InS (PBE, optimized geometry); space group = Pm-3m; ΔE_f (raw) = 0.311 eV/atom
1.0
4.812 0.000 0.000
0.000 4.812 0.000
0.000 0.000 4.812
Zn In S
3 1 1
direct
0.000 0.000 0.500 Zn
0.000 0.500 0.000 Zn
0.500 0.000 0.000 Zn
0.500 0.500 0.500 In
0.000 0.000 0.000 S

***

14.
TbScGa2Pt2 (PBE, optimized geometry); ΔH_f (0 K) = -1.078 eV/atom; space group = P-3m1
1.0
4.439 0.000 0.000
-2.220 3.845 0.000
0.000 0.000 6.627
Tb Sc Ga Pt
1 1 2 2
direct
0.000 0.000 0.000 Tb
0.000 0.000 0.500 Sc
0.333 0.667 0.284 Ga
0.667 0.333 0.716 Ga
0.333 0.667 0.721 Pt
0.667 0.333 0.279 Pt

***

15.
RbSc2Ag (PBE, optimized geometry); ΔH_f (0 K) = 0.408 eV/atom; space group = R-3m
1.0
3.426 0.000 0.000
-1.713 2.967 0.000
0.000 0.000 34.192
Rb Sc Ag
3 6 3
direct
0.000 0.000 0.000 Rb
0.333 0.667 0.667 Rb
0.667 0.333 0.333 Rb
0.000 0.000 0.103 Sc
0.000 0.000 0.897 Sc
0.333 0.667 0.563 Sc
0.333 0.667 0.770 Sc
0.667 0.333 0.230 Sc
0.667 0.333 0.437 Sc
0.000 0.000 0.500 Ag
0.333 0.667 0.167 Ag
0.667 0.333 0.833 Ag

***

16.
LaCdPt (PBE, optimized geometry); ΔH_f (0 K) = -0.231 eV/atom; space group = F-43m
1.0
7.083 0.000 0.000
0.000 7.083 0.000
0.000 0.000 7.083
La Cd Pt
4 4 4
direct
0.000 0.000 0.000 La
0.000 0.500 0.500 La
0.500 0.000 0.500 La
0.500 0.500 0.000 La
0.250 0.250 0.750 Cd
0.250 0.750 0.250 Cd
0.750 0.250 0.250 Cd
0.750 0.750 0.750 Cd
0.250 0.250 0.250 Pt
0.250 0.750 0.750 Pt
0.750 0.250 0.750 Pt
0.750 0.750 0.250 Pt

***

17.
PmDy2PaSe4 (PBE, optimized geometry); space group = P2/m; ΔE_f (raw) = -1.616 eV/atom
1.0
7.083 0.000 0.000
0.000 4.051 0.000
-2.315 0.000 6.804
Pm Dy Pa Se
1 2 1 4
direct
0.000 0.000 0.000 Pm
0.000 0.500 0.500 Dy
0.500 0.000 0.500 Dy
0.500 0.500 0.000 Pa
0.251 0.000 0.744 Se
0.256 0.500 0.258 Se
0.744 0.500 0.742 Se
0.749 0.000 0.256 Se

***

18.
Li3Np2PdSe6 (PBE, optimized geometry); space group = C2/m; ΔE_f (raw) = -1.009 eV/atom
1.0
3.407 -5.883 0.000
3.407 5.883 0.000
-2.274 0.000 6.513
Li Np Pd Se
3 2 1 6
direct
0.000 0.000 0.000 Li
0.337 0.663 0.000 Li
0.663 0.337 0.000 Li
0.167 0.833 0.500 Np
0.833 0.167 0.500 Np
0.500 0.500 0.500 Pd
0.088 0.415 0.247 Se
0.255 0.255 0.753 Se
0.415 0.088 0.247 Se
0.585 0.912 0.753 Se
0.745 0.745 0.247 Se
0.912 0.585 0.753 Se

***

19.
ScFe4B4 (PBE, optimized geometry); ΔH_f (0 K) = -0.449 eV/atom; space group = P4_2/nmc
1.0
4.965 0.000 0.000
0.000 4.965 0.000
0.000 0.000 6.820
Sc Fe B
2 8 8
direct
0.250 0.750 0.250 Sc
0.750 0.250 0.750 Sc
0.006 0.750 0.614 Fe
0.250 0.506 0.886 Fe
0.250 0.994 0.886 Fe
0.494 0.750 0.614 Fe
0.506 0.250 0.386 Fe
0.750 0.006 0.114 Fe
0.750 0.494 0.114 Fe
0.994 0.250 0.386 Fe
0.074 0.250 0.094 B
0.250 0.074 0.594 B
0.250 0.426 0.594 B
0.426 0.250 0.094 B
0.574 0.750 0.906 B
0.750 0.574 0.406 B
0.750 0.926 0.406 B
0.926 0.750 0.906 B

***

20.
TbPmBiSe (PBE, optimized geometry); space group = R3m; ΔE_f (raw) = -1.232 eV/atom
1.0
4.237 0.000 0.000
-2.118 3.669 0.000
0.000 0.000 22.885
Tb Pm Bi Se
3 3 3 3
direct
0.000 0.000 0.000 Tb
0.333 0.667 0.667 Tb
0.667 0.333 0.333 Tb
0.000 0.000 0.837 Pm
0.333 0.667 0.504 Pm
0.667 0.333 0.170 Pm
0.000 0.000 0.415 Bi
0.333 0.667 0.082 Bi
0.667 0.333 0.749 Bi
0.000 0.000 0.589 Se
0.333 0.667 0.256 Se
0.667 0.333 0.922 Se

***

21.
PmMgBeCd (PBE, optimized geometry); ΔH_f (0 K) = -0.034 eV/atom; space group = F-43m
1.0
6.991 0.000 0.000
0.000 6.991 0.000
0.000 0.000 6.991
Pm Mg Be Cd
4 4 4 4
direct
0.000 0.000 0.000 Pm
0.000 0.500 0.500 Pm
0.500 0.000 0.500 Pm
0.500 0.500 0.000 Pm
0.000 0.000 0.500 Mg
0.000 0.500 0.000 Mg
0.500 0.000 0.000 Mg
0.500 0.500 0.500 Mg
0.250 0.250 0.250 Be
0.250 0.750 0.750 Be
0.750 0.250 0.750 Be
0.750 0.750 0.250 Be
0.250 0.250 0.750 Cd
0.250 0.750 0.250 Cd
0.750 0.250 0.250 Cd
0.750 0.750 0.750 Cd

***

22.
PmPaSi (PBE, optimized geometry); space group = I2_12_12_1; ΔE_f (raw) = -0.229 eV/atom
1.0
5.923 0.000 0.000
0.000 6.022 0.000
0.000 0.000 8.219
Pm Pa Si
4 4 4
direct
0.000 0.250 0.127 Pm
0.000 0.750 0.373 Pm
0.500 0.250 0.873 Pm
0.500 0.750 0.627 Pm
0.250 0.254 0.500 Pa
0.250 0.746 0.000 Pa
0.750 0.246 0.500 Pa
0.750 0.754 0.000 Pa
0.003 0.000 0.750 Si
0.497 0.000 0.250 Si
0.503 0.500 0.250 Si
0.997 0.500 0.750 Si

***

23.
CuHg2Br (PBE, optimized geometry); space group = P4/mmm; ΔE_f (raw) = 0.171 eV/atom
1.0
3.296 0.000 0.000
0.000 3.296 0.000
0.000 0.000 8.226
Cu Hg Br
1 2 1
direct
0.000 0.000 0.000 Cu
0.500 0.500 0.208 Hg
0.500 0.500 0.792 Hg
0.000 0.000 0.500 Br

***

24.
ZnGeO3 (PBE, optimized geometry); space group = R3c; ΔE_f (raw) = -1.473 eV/atom
1.0
2.548 1.471 4.427
-2.548 1.471 4.427
0.000 -2.942 4.427
Zn Ge O
2 2 6
direct
0.000 0.000 0.000 Zn
0.500 0.500 0.500 Zn
0.277 0.277 0.277 Ge
0.777 0.777 0.777 Ge
0.052 0.413 0.652 O
0.152 0.913 0.552 O
0.413 0.652 0.052 O
0.552 0.152 0.913 O
0.652 0.052 0.413 O
0.913 0.552 0.152 O

***

25.
TcIrNO2 (PBE, optimized geometry); space group = P4/mmm; ΔE_f (raw) = 0.557 eV/atom
1.0
3.801 0.000 0.000
0.000 3.801 0.000
0.000 0.000 4.066
Tc Ir N O
1 1 1 2
direct
0.000 0.000 0.000 Tc
0.500 0.500 0.500 Ir
0.000 0.000 0.500 N
0.000 0.500 0.000 O
0.500 0.000 0.000 O

***

26.
LaTc2Te (PBE, optimized geometry); space group = R3m; ΔE_f (raw) = -0.251 eV/atom
1.0
4.389 0.000 0.000
-2.194 3.801 0.000
0.000 0.000 16.650
La Tc Te
3 6 3
direct
0.000 0.000 0.000 La
0.333 0.667 0.667 La
0.667 0.333 0.333 La
0.000 0.000 0.474 Tc
0.000 0.000 0.792 Tc
0.333 0.667 0.141 Tc
0.333 0.667 0.459 Tc
0.667 0.333 0.125 Tc
0.667 0.333 0.808 Tc
0.000 0.000 0.209 Te
0.333 0.667 0.876 Te
0.667 0.333 0.542 Te

***

27.
Zr2CuAsOs (PBE, optimized geometry); ΔH_f (0 K) = 0.722 eV/atom; space group = P4/mmm
1.0
4.904 0.000 0.000
0.000 4.904 0.000
0.000 0.000 4.146
Zr Cu As Os
2 1 1 1
direct
0.000 0.500 0.000 Zr
0.500 0.000 0.000 Zr
0.000 0.000 0.000 Cu
0.000 0.000 0.500 As
0.500 0.500 0.500 Os